First-principles (PBE) data for a relaxed Y2TeMo crystal, as listed in Alexandria via LeMat-Bulk.

## Properties
N(E_F) ... 4.62 states/eV/f.u.
Crystal system ... tetragonal

a b c (Å): 4.5477 4.5477 20.6666
angles (deg): 90.00 90.00 90.00
Last column: nearest neighbours and their distance in Å.
Space group I-42d (No. 122)
Unique sites:
Y1 0.2479 0.2500 0.1250 (multiplicity 8)  2 Te 3.04, 2 Mo 3.05, 4 Y 3.20-3.23
Te1 0.0000 0.0000 0.0000 (multiplicity 4)  4 Y 3.04, 4 Mo 3.22
Mo1 0.0000 0.0000 0.5000 (multiplicity 4)  4 Y 3.05, 4 Te 3.22


First-principles (PBE) data for a relaxed Y2TeMo2 crystal, as listed in Alexandria via LeMat-Bulk.

## Properties
N(E_F) ... 6.48 states/eV/f.u.
Crystal system ... tetragonal
Energy above the most stable polymorph in this dataset ... 870 meV per atom

a b c (Å): 4.6604 4.6604 11.9735
angles (deg): 90.00 90.00 90.00
Last column: nearest neighbours and their distance in Å.
Space group I4/mmm (No. 139)
Unique sites:
Y1 0.0000 0.5000 0.2500 (multiplicity 4)  4 Mo 3.02, 4 Y 3.30
Te1 0.0000 0.0000 0.0000 (multiplicity 2)  8 Mo 3.47, 8 Y 3.79
Mo1 0.0000 0.0000 0.4103 (multiplicity 4)  1 Mo 2.15


First-principles (PBE) data for a relaxed ZnTe2Mo crystal, as listed in Alexandria via LeMat-Bulk.

## Properties
N(E_F) ... 2.34 states/eV/f.u.
Crystal system ... orthorhombic

a b c (Å): 3.4186 3.5203 15.7532
angles (deg): 90.00 90.00 90.00
Last column: nearest neighbours and their distance in Å.
Space group Imm2 (No. 44)
Unique sites:
Zn1 0.0000 0.0000 0.0000 (multiplicity 2)  6 Te 3.06-3.14, 2 Zn 3.42
Te1 0.0000 0.0000 0.3843 (multiplicity 2)  2 Mo 2.69
Te2 0.0000 0.5000 0.1648 (multiplicity 2)  4 Mo 2.82, 2 Zn 3.14
Mo1 0.0000 0.5000 0.7525 (multiplicity 2)  6 Te 2.69-2.82


First-principles (PBE) data for a relaxed ZnTeMo crystal, as listed in Alexandria via LeMat-Bulk.

## Properties
N(E_F) ... 0.37 states/eV/f.u.
Crystal system ... tetragonal
Energy above the most stable polymorph in this dataset ... 0 meV per atom

a b c (Å): 3.4614 3.4614 8.7823
angles (deg): 90.00 90.00 90.00
Last column: nearest neighbours and their distance in Å.
Space group I4mm (No. 107)
Unique sites:
Zn1 0.0000 0.0000 0.0000 (multiplicity 2)  5 Te 2.80-2.92, 5 Mo 2.84-2.95
Te1 0.0000 0.0000 0.3191 (multiplicity 2)  5 Mo 2.80-3.03, 5 Zn 2.80-2.92
Mo1 0.0000 0.0000 0.6638 (multiplicity 2)  5 Te 2.80-3.03, 5 Zn 2.84-2.95


First-principles (PBE) data for a relaxed ZnTe2Mo crystal, as listed in Alexandria via LeMat-Bulk.

## Properties
N(E_F) ... 2.09 states/eV/f.u.
Crystal system ... monoclinic

a b c (Å): 3.3154 3.2961 8.4171
angles (deg): 90.00 90.67 90.00
Last column: nearest neighbours and their distance in Å.
Space group P2/m (No. 10)
Unique sites:
Zn1 0.0000 0.0000 0.0000 (multiplicity 1)  4 Zn 3.30-3.32, 8 Te 3.43-3.48
Te1 0.4940 0.5000 0.3017 (multiplicity 2)  4 Mo 2.87
Mo1 0.0000 0.0000 0.5000 (multiplicity 1)  8 Te 2.87


First-principles (PBE) data for a relaxed Zn4Te2Mo crystal, as listed in Alexandria via LeMat-Bulk.

## Properties
N(E_F) ... 5.32 states/eV/f.u.
Crystal system ... tetragonal

a b c (Å): 5.1008 5.1008 14.0771
angles (deg): 90.00 90.00 90.00
Last column: nearest neighbours and their distance in Å.
Space group I4/mmm (No. 139)
Unique sites:
Zn1 0.0000 0.0000 0.1849 (multiplicity 4)  1 Mo 2.60, 1 Te 2.64
Zn2 0.0000 0.5000 0.0000 (multiplicity 4)  2 Mo 2.55
Te1 0.0000 0.0000 0.3722 (multiplicity 4)  1 Zn 2.64
Mo1 0.0000 0.0000 0.0000 (multiplicity 2)  6 Zn 2.55-2.60


First-principles (PBE) data for a relaxed ZnTe2Mo crystal, as listed in Alexandria via LeMat-Bulk.

## Properties
N(E_F) ... 2.36 states/eV/f.u.
Crystal system ... cubic

a b c (Å): 7.1183 7.1183 7.1183
angles (deg): 90.00 90.00 90.00
Last column: nearest neighbours and their distance in Å.
Space group F-43m (No. 216)
Unique sites:
Zn1 0.0000 0.0000 0.0000 (multiplicity 4)  4 Te 3.08, 4 Mo 3.08
Te1 0.0000 0.0000 0.5000 (multiplicity 4)  4 Mo 3.08, 4 Te 3.08
Te2 0.2500 0.2500 0.7500 (multiplicity 4)  4 Te 3.08, 4 Zn 3.08
Mo1 0.2500 0.2500 0.2500 (multiplicity 4)  4 Te 3.08, 4 Zn 3.08


First-principles (PBE) data for a relaxed ZnTe2Mo crystal, as listed in Alexandria via LeMat-Bulk.

## Properties
N(E_F) ... 2.05 states/eV/f.u.
Crystal system ... tetragonal

a b c (Å): 3.9788 3.9788 12.1471
angles (deg): 90.00 90.00 90.00
Last column: nearest neighbours and their distance in Å.
Space group I-4m2 (No. 119)
Unique sites:
Zn1 0.0000 0.0000 0.0000 (multiplicity 2)  4 Te 2.81
Te1 0.0000 0.0000 0.5000 (multiplicity 2)  4 Zn 2.81
Te2 0.0000 0.5000 0.2500 (multiplicity 2)  4 Mo 2.81
Mo1 0.0000 0.5000 0.7500 (multiplicity 2)  4 Te 2.81


First-principles (PBE) data for a relaxed ZnTe2Mo crystal, as listed in Alexandria via LeMat-Bulk.

## Properties
N(E_F) ... 1.58 states/eV/f.u.
Crystal system ... monoclinic

a b c (Å): 9.7072 3.4066 7.3304
angles (deg): 90.00 112.82 90.00
Last column: nearest neighbours and their distance in Å.
Space group Cm (No. 8)
Unique sites:
Zn1 0.0000 0.0000 0.0000 (multiplicity 2)  3 Mo 2.71-2.74, 4 Te 2.98-3.00
Te1 0.2489 0.0000 0.7326 (multiplicity 2)  2 Mo 2.69, 2 Zn 3.00
Te2 0.4050 0.0000 0.2643 (multiplicity 2)  2 Mo 2.70, 2 Zn 2.98
Mo1 0.2169 0.5000 0.9984 (multiplicity 2)  4 Te 2.69-2.70, 3 Zn 2.71-2.74


First-principles (PBE) data for a relaxed ZnTeMo crystal, as listed in Alexandria via LeMat-Bulk.

## Properties
N(E_F) ... 1.14 states/eV/f.u.
Crystal system ... trigonal
Energy above the most stable polymorph in this dataset ... 85 meV per atom

a b c (Å): 3.2821 3.2821 6.6543
angles (deg): 90.00 90.00 120.00
Last column: nearest neighbours and their distance in Å.
Space group P3m1 (No. 156)
Unique sites:
Zn1 0.0000 0.0000 0.0000 (multiplicity 1)  3 Mo 2.73
Te1 0.3333 0.6667 0.5802 (multiplicity 1)  3 Mo 2.68
Mo1 0.6667 0.3333 0.2961 (multiplicity 1)  3 Te 2.68, 3 Zn 2.73


First-principles (PBE) data for a relaxed Zn2TeMo crystal, as listed in Alexandria via LeMat-Bulk.

## Properties
N(E_F) ... 2.80 states/eV/f.u.
Crystal system ... monoclinic

a b c (Å): 2.9194 4.3117 6.2782
angles (deg): 90.00 99.84 90.00
Last column: nearest neighbours and their distance in Å.
Space group Pm (No. 6)
Unique sites:
Zn1 0.0000 0.0000 0.0000 (multiplicity 1)  2 Zn 2.59, 2 Mo 2.68-2.72
Zn2 0.0969 0.5000 0.2311 (multiplicity 1)  2 Zn 2.59, 4 Mo 2.74
Te1 0.9003 0.5000 0.6708 (multiplicity 1)  2 Mo 2.89, 3 Zn 2.91-2.97, 2 Te 2.92
Mo1 0.6485 0.0000 0.3677 (multiplicity 1)  6 Zn 2.68-2.74, 2 Te 2.89, 2 Mo 2.92


First-principles (PBE) data for a relaxed ZnTe2Mo crystal, as listed in Alexandria via LeMat-Bulk.

## Properties
N(E_F) ... 3.68 states/eV/f.u.
Crystal system ... orthorhombic

a b c (Å): 3.4134 5.3832 10.3861
angles (deg): 90.00 90.00 90.00
Last column: nearest neighbours and their distance in Å.
Space group Cmmm (No. 65)
Unique sites:
Zn1 0.0000 0.0000 0.0000 (multiplicity 2)  6 Zn 3.19-3.41, 4 Te 3.47
Te1 0.0000 0.5000 0.2911 (multiplicity 4)  2 Mo 2.76
Mo1 0.0000 0.0000 0.5000 (multiplicity 2)  4 Te 2.76


E_tot values, unit eV for the cell shown, following the record order: -100.30; -66.81; -35.21; -29.64; -17.85; -35.79; -60.73; -32.12; -35.98; -14.57; -15.24; -33.20.